ReSbPb2 | Alexandria | SCAN | single point on PBEsol structure; symmetry = Amm2 (38); ρ = 12.70 g/cm3; V = 23.61 Å³/atom; energy relative to the elements, uncorrected = 0.7731 eV per atom
1.0
-2.581 -1.951 2.063
1.479 -3.973 -1.905
4.828 0.421 2.870
Re Pb Sb
1 2 1
direct
0.693 0.000 0.385
0.974 0.000 0.949
0.286 0.500 0.572
0.565 0.500 0.130

ReSbPb2 | Alexandria | SCAN | single point on PBEsol structure; symmetry = I4/mmm (139); ρ = 12.87 g/cm3; V = 23.30 Å³/atom; energy relative to the elements, uncorrected = 1.0884 eV per atom
1.0
4.393 0.000 0.000
0.000 4.393 0.000
-2.196 -2.196 4.831
Pb Sb Re
2 1 1
direct
0.750 0.250 0.500
0.250 0.750 0.500
0.000 0.000 0.000
0.500 0.500 0.000

ScRePb2 | Alexandria | SCAN | single point on PBEsol structure; symmetry = F-43m (216); ρ = 12.53 g/cm3; E_form = 0.60 eV/atom; distance to the lowest polymorph of the same formula = 0.313 eV per atom; V = 21.39 Å³/atom
1.0
-0.244 4.086 -2.777
-0.425 -0.371 -4.914
-4.247 1.234 -2.216
Pb Sc Re
2 1 1
direct
0.250 0.250 0.250
0.000 0.000 0.000
0.750 0.750 0.750
0.500 0.500 0.500